Record 1
This record from Alexandria via LeMat-Bulk describes La6Nd3Ho after structural relaxation. The functional is PBE. Values from VASP.

Calculated values
energy above the lowest structure with this stoichiometry	0	meV per atom
space-group type	P2_1/m (11)

```
&SYSTEM
  ibrav = 0, nat = 20, ntyp = 3
/
ATOMIC_SPECIES
Nd 144.24 Nd.upf
La 138.91 La.upf
Ho 164.93 Ho.upf
CELL_PARAMETERS angstrom
-0.3563 -2.1956 -2.8867
16.6658 2.7285 -4.1322
-9.9372 -11.0462 9.6284
ATOMIC_POSITIONS angstrom
Nd 6.9525 -3.9479 -1.3057
Nd 7.8047 -0.4367 -1.7813
Nd 5.3291 -7.9756 4.2585
Nd 1.0432 -2.5377 -1.6490
Nd -0.5802 -6.5655 3.9152
Nd -1.4325 -10.0767 4.3908
La 2.5218 -7.1388 1.6681
La -3.8807 -7.8950 3.0335
La -4.4948 -9.2621 6.4495
La 4.4337 -1.8404 -2.5979
La -7.9501 -10.0361 7.4646
La 5.9902 -6.6273 0.8510
La 0.3821 -3.8861 1.7585
La 14.3223 -0.4773 -4.8551
La 1.9386 -8.6729 5.2073
La 10.2530 -2.6184 -0.4240
La 10.8671 -1.2512 -3.8400
La 3.8505 -3.3746 0.9414
Ho 9.4482 -6.1051 0.0271
Ho -3.0759 -4.4082 2.5824
```

---

Record 2
This record from Alexandria via LeMat-Bulk describes La4NdHo after structural relaxation. The functional is PBE. Values from VASP.

Calculated values
energy above the lowest structure with this stoichiometry	79	meV per atom
space-group type	C2/m (12)

```
&SYSTEM
  ibrav = 0, nat = 6, ntyp = 3
/
ATOMIC_SPECIES
La 138.91 La.upf
Ho 164.93 Ho.upf
Nd 144.24 Nd.upf
CELL_PARAMETERS angstrom
-4.8708 2.7147 3.2517
-6.0557 0.1842 -2.2270
-1.1725 -5.3738 2.7356
ATOMIC_POSITIONS angstrom
La -2.3083 -2.2182 1.5237
La -9.7908 -0.2567 2.2367
La -7.2013 1.9019 0.6793
La -4.8978 -4.3768 3.0811
Ho 0.0000 0.0000 0.0000
Nd -6.0495 -1.2374 1.8802
```

---

Record 3
This record from Alexandria via LeMat-Bulk describes La2NdHo3 after structural relaxation. The functional is PBE. Values from VASP.

Calculated values
energy above the lowest structure with this stoichiometry	51	meV per atom
space-group type	Cmc2_1 (36)

```
&SYSTEM
  ibrav = 0, nat = 12, ntyp = 3
/
ATOMIC_SPECIES
Ho 164.93 Ho.upf
Nd 144.24 Nd.upf
La 138.91 La.upf
CELL_PARAMETERS angstrom
6.5042 0.0000 0.0000
0.0000 7.4470 3.2852
0.0000 -0.7845 8.1016
ATOMIC_POSITIONS angstrom
Ho 3.8978 3.5481 2.6311
Ho 0.6458 3.1145 8.7556
Ho 0.6458 6.1071 7.0046
Ho 3.8978 0.5555 4.3822
Ho 5.3133 0.5951 1.0170
Ho 2.0612 6.0675 10.3697
Nd 5.1632 5.5361 9.4616
Nd 1.9111 1.1265 1.9252
La 0.4836 1.5078 5.8060
La 3.7357 2.3398 7.2279
La 3.7357 5.1548 5.5808
La 0.4836 4.3228 4.1589
```

---

Record 4
This record from Alexandria via LeMat-Bulk describes La3NdHo8 after structural relaxation. The functional is PBE. Values from VASP.

Calculated values
space-group type	I-42m (121)

```
&SYSTEM
  ibrav = 0, nat = 12, ntyp = 3
/
ATOMIC_SPECIES
Ho 164.93 Ho.upf
Nd 144.24 Nd.upf
La 138.91 La.upf
CELL_PARAMETERS angstrom
-5.8071 4.3967 4.1998
2.5329 -7.2272 3.4704
7.6768 3.3879 -0.5289
ATOMIC_POSITIONS angstrom
Ho 4.7442 -0.6767 4.3057
Ho -0.3600 1.2410 2.8303
Ho 8.3021 -1.5670 1.7128
Ho 3.8270 -4.5791 2.4741
Ho 2.3709 -0.3432 2.1384
Ho 1.2203 0.1991 6.9036
Ho 0.5940 5.1295 4.6725
Ho -3.0882 2.8258 3.5278
Nd 7.6768 3.3879 -0.5289
La 0.9153 -2.3751 4.5705
La 3.4873 2.9325 2.5708
La 5.1048 -1.9197 1.4708
```

---

Record 5
This record from Alexandria via LeMat-Bulk describes LaNdHo3 after structural relaxation. The functional is PBE. Values from VASP.

Calculated values
energy above the lowest structure with this stoichiometry	13	meV per atom
space-group type	Pnma (62)

```
&SYSTEM
  ibrav = 0, nat = 20, ntyp = 3
/
ATOMIC_SPECIES
Ho 164.93 Ho.upf
La 138.91 La.upf
Nd 144.24 Nd.upf
CELL_PARAMETERS angstrom
-3.6963 6.3626 -6.1757
-8.5871 -4.2175 0.7944
-1.6821 4.4849 5.6274
ATOMIC_POSITIONS angstrom
Ho -6.5547 6.2657 0.3255
Ho -10.5783 2.8975 -3.0452
Ho -7.4108 0.3642 -0.0794
Ho -6.3160 5.2935 3.5903
Ho -3.3872 3.7324 3.2913
Ho -8.4880 3.5719 -0.5391
Ho -5.4775 3.0580 0.7853
Ho -8.8246 -0.6824 2.7508
Ho -7.9861 -2.9179 -0.0542
Ho -7.6495 1.3364 -3.3442
Ho -5.1409 7.3123 -2.5047
Ho -5.9794 9.5479 0.3003
La -4.2936 -2.1088 0.3972
La -2.6892 5.4237 -0.2741
La -5.1346 0.1337 3.2109
La -1.8481 3.1813 -3.0878
Nd -5.7166 4.0343 -2.4979
Nd -11.4110 5.1316 -0.2223
Nd -8.2490 2.5956 2.7440
Nd -2.5545 1.4983 0.4684
```

---

Record 6
This record from Alexandria via LeMat-Bulk describes LaNdHo2 after structural relaxation. The functional is PBE. Values from VASP.

Calculated values
energy above the lowest structure with this stoichiometry	11	meV per atom
space-group type	P4/mmm (123)

```
&SYSTEM
  ibrav = 0, nat = 4, ntyp = 3
/
ATOMIC_SPECIES
Ho 164.93 Ho.upf
La 138.91 La.upf
Nd 144.24 Nd.upf
CELL_PARAMETERS angstrom
-1.5981 -4.1464 2.3245
1.7199 -2.8715 -3.9396
4.5883 -0.4582 2.3371
ATOMIC_POSITIONS angstrom
Ho 2.2941 -0.2291 1.1685
Ho 0.8599 -1.4358 -1.9698
La -0.7991 -2.0732 1.1623
Nd 2.3550 -3.7381 0.3610
```

---

Record 7
This record from Alexandria via LeMat-Bulk describes La8Nd2Ho after structural relaxation. The functional is PBE. Values from VASP.

Calculated values
energy above the lowest structure with this stoichiometry	106	meV per atom
space-group type	C2/m (12)

```
&SYSTEM
  ibrav = 0, nat = 11, ntyp = 3
/
ATOMIC_SPECIES
Ho 164.93 Ho.upf
Nd 144.24 Nd.upf
La 138.91 La.upf
CELL_PARAMETERS angstrom
-3.8778 -0.9267 -4.6261
-8.4626 -3.7468 0.9837
-7.5135 5.8557 1.6949
ATOMIC_POSITIONS angstrom
Ho -1.9389 -0.4633 -2.3130
Nd -10.4937 1.0360 1.7282
Nd -5.4825 1.0728 0.9505
La -11.7184 2.4844 -2.1578
La -8.1356 -1.3022 0.2104
La -7.6300 -2.8245 -2.6704
La -5.7457 0.2572 -3.2880
La -14.1082 0.9250 1.3406
La -4.7104 -1.8490 -0.9720
La -8.1085 2.2277 -1.1107
La -11.7454 -1.0456 -0.8367
```

---

Record 8
This record from Alexandria via LeMat-Bulk describes La6NdHo after structural relaxation. The functional is PBE. Values from VASP.

Calculated values
space-group type	P4/mmm (123)

```
&SYSTEM
  ibrav = 0, nat = 8, ntyp = 3
/
ATOMIC_SPECIES
La 138.91 La.upf
Ho 164.93 Ho.upf
Nd 144.24 Nd.upf
CELL_PARAMETERS angstrom
-5.1896 -0.5024 -0.2711
0.3476 -0.8137 -5.1454
0.9065 -10.2743 1.6861
ATOMIC_POSITIONS angstrom
La -1.9678 -5.7952 -1.8652
La -1.9165 -7.9397 1.1262
La -2.4210 -0.6580 -2.7083
La 0.4019 -2.9926 -2.1484
La -2.3667 -2.8369 0.2888
La 0.8521 -8.0954 -1.3110
Ho 0.4532 -5.1371 0.8430
Nd 0.0000 0.0000 0.0000
```

---

Record 9
This record from Alexandria via LeMat-Bulk describes La12Nd5Ho after structural relaxation. The functional is PBE. Values from VASP.

Calculated values
space-group type	C2/m (12)

```
&SYSTEM
  ibrav = 0, nat = 18, ntyp = 3
/
ATOMIC_SPECIES
La 138.91 La.upf
Nd 144.24 Nd.upf
Ho 164.93 Ho.upf
CELL_PARAMETERS angstrom
11.0864 0.0001 -0.0013
5.5430 9.5172 1.6196
0.0009 1.1208 6.3303
ATOMIC_POSITIONS angstrom
La 12.9592 6.9070 4.2465
La 14.7653 7.4762 7.4068
La 9.2144 6.9061 4.2472
La 9.2228 3.1617 0.5406
La 7.4173 3.7302 3.7023
La 9.2391 0.5615 3.1643
La 7.4081 7.4752 7.4080
La 1.8635 3.1625 0.5407
La 3.6520 1.1218 6.3298
La 1.8473 0.5616 3.1648
La 7.4371 1.1215 6.3289
La 3.6704 3.7309 3.7026
Nd 5.5445 0.5612 3.1647
Nd 11.0863 3.7217 3.7192
Nd 11.0868 6.3455 1.0857
Nd 5.5445 4.2915 6.8627
Nd 5.5428 6.9162 4.2298
Ho 11.0872 1.1216 6.3287
```

---

Record 10
This record from Alexandria via LeMat-Bulk describes La2NdHo after structural relaxation. The functional is PBE. Values from VASP.

Calculated values
energy above the lowest structure with this stoichiometry	0	meV per atom
space-group type	R-3m (166)

```
&SYSTEM
  ibrav = 0, nat = 4, ntyp = 3
/
ATOMIC_SPECIES
Nd 144.24 Nd.upf
La 138.91 La.upf
Ho 164.93 Ho.upf
CELL_PARAMETERS angstrom
3.6868 0.0000 0.0000
1.8434 3.1929 0.0000
1.8434 1.0643 11.8726
ATOMIC_POSITIONS angstrom
Nd 3.6868 2.1286 5.9363
La 5.5302 3.1929 8.9614
La 1.8434 1.0643 2.9111
Ho 0.0000 0.0000 0.0000
```

---

For each record above, in turn, the calculated E values are -95.751, -28.471, -54.412, -48.920, -91.947, -18.753, -52.212, -38.852, -87.249, -19.149 eV/cell.